# ZrPa2Ti (PBE, optimized geometry)
data_ZrPa2Ti
_chemical_formula_sum 'Zr1 Pa2 Ti1'
_symmetry_space_group_name_H-M 'P 4/m m m'
_symmetry_Int_Tables_number 123
_symmetry_space_group_name_Hall '-P 4 2'
_cell_length_a 3.021
_cell_length_b 3.021
_cell_length_c 9.930
_cell_angle_alpha 90.00
_cell_angle_beta 90.00
_cell_angle_gamma 90.00
loop_
_atom_site_label
_atom_site_type_symbol
_atom_site_fract_x
_atom_site_fract_y
_atom_site_fract_z
Zr1 Zr 0.000 0.000 0.000
Pa1 Pa 0.500 0.500 0.263
Ti1 Ti 0.000 0.000 0.500
# - ΔE_f (eV/f.u.) = 0.6
# - spin magnetization (μB per atom) = 0.000
# - V (Å³/f.u.) = 90.6
# - final energy (Ry per atom) = -0.641